(1)
First-principles (GGA-PBE) data for crystalline Ho3Pd4 at its relaxed geometry, as listed in the Alexandria database.

Results
* symmetry: R-3, No. 148
* crystal system: trigonal
* DOS(E_F): 2.2 states/eV/f.u.

Cell lengths 7.8442, 7.8442, 7.8442 Å; angles 114.25, 114.25, 114.25 degrees
Positions (direct):
Ho: 0.0240 0.2753 0.4049
Ho: 0.2753 0.4049 0.0240
Ho: 0.4049 0.0240 0.2753
Ho: 0.5951 0.9760 0.7247
Ho: 0.7247 0.5951 0.9760
Ho: 0.9760 0.7247 0.5951
Pd: 0.0000 0.0000 0.0000
Pd: 0.0640 0.5492 0.2291
Pd: 0.2291 0.0640 0.5492
Pd: 0.4508 0.7709 0.9360
Pd: 0.5000 0.5000 0.5000
Pd: 0.5492 0.2291 0.0640
Pd: 0.7709 0.9360 0.4508
Pd: 0.9360 0.4508 0.7709

=====

(2)
First-principles (GGA-PBE) data for crystalline HoPd6 at its relaxed geometry, as listed in the Alexandria database.

Results
* symmetry: Im-3m, No. 229
* crystal system: cubic
* DOS(E_F): 13.9 states/eV/f.u.

Cell lengths 6.9636, 6.9636, 6.9636 Å; angles 90.00, 90.00, 90.00 degrees
Positions (direct):
Ho: 0.0000 0.0000 0.0000
Ho: 0.5000 0.5000 0.5000
Pd: 0.0000 0.2500 0.5000
Pd: 0.0000 0.5000 0.2500
Pd: 0.0000 0.5000 0.7500
Pd: 0.0000 0.7500 0.5000
Pd: 0.2500 0.0000 0.5000
Pd: 0.2500 0.5000 0.0000
Pd: 0.5000 0.0000 0.2500
Pd: 0.5000 0.0000 0.7500
Pd: 0.5000 0.2500 0.0000
Pd: 0.5000 0.7500 0.0000
Pd: 0.7500 0.0000 0.5000
Pd: 0.7500 0.5000 0.0000

=====

(3)
First-principles (GGA-PBE) data for crystalline Ho6Pd5 at its relaxed geometry, as listed in the Alexandria database.

Results
* symmetry: Cmmm, No. 65
* crystal system: orthorhombic
* DOS(E_F): 7.8 states/eV/f.u.

Cell lengths 7.7785, 7.7785, 6.9325 Å; angles 90.00, 90.00, 143.07 degrees
Positions (direct):
Ho: 0.0000 0.0000 0.2499
Ho: 0.0000 0.0000 0.7501
Ho: 0.3348 0.6652 0.2491
Ho: 0.3348 0.6652 0.7509
Ho: 0.6652 0.3348 0.2491
Ho: 0.6652 0.3348 0.7509
Pd: 0.1660 0.8340 0.0000
Pd: 0.1719 0.8281 0.5000
Pd: 0.5000 0.5000 0.5000
Pd: 0.8281 0.1719 0.5000
Pd: 0.8340 0.1660 0.0000

=====

(4)
First-principles (GGA-PBE) data for crystalline HoPd4 at its relaxed geometry, as listed in the Alexandria database.

Results
* symmetry: P2_1/c, No. 14
* crystal system: monoclinic
* DOS(E_F): 3.8 states/eV/f.u.

Cell lengths 4.5667, 5.5261, 8.0850 Å; angles 90.00, 114.99, 90.00 degrees
Positions (direct):
Ho: 0.0000 0.0000 0.0000
Ho: 0.0000 0.5000 0.5000
Pd: 0.1531 0.9998 0.3964
Pd: 0.1531 0.5002 0.8964
Pd: 0.4993 0.2493 0.7501
Pd: 0.4993 0.2507 0.2501
Pd: 0.5007 0.7493 0.7499
Pd: 0.5007 0.7507 0.2499
Pd: 0.8469 0.0002 0.6036
Pd: 0.8469 0.4998 0.1036

=====

(5)
First-principles (GGA-PBE) data for crystalline Ho3Pd5 at its relaxed geometry, as listed in the Alexandria database.

Results
* symmetry: Cmmm, No. 65
* crystal system: orthorhombic
* DOS(E_F): 3.5 states/eV/f.u.

Cell lengths 7.1395, 9.1349, 4.8048 Å; angles 90.00, 90.00, 90.00 degrees
Positions (direct):
Ho: 0.0000 0.0000 0.0000
Ho: 0.0000 0.2950 0.5000
Ho: 0.0000 0.7050 0.5000
Ho: 0.5000 0.2050 0.5000
Ho: 0.5000 0.5000 0.0000
Ho: 0.5000 0.7950 0.5000
Pd: 0.0000 0.5000 0.0000
Pd: 0.2061 0.0000 0.5000
Pd: 0.2500 0.2500 0.0000
Pd: 0.2500 0.7500 0.0000
Pd: 0.2939 0.5000 0.5000
Pd: 0.5000 0.0000 0.0000
Pd: 0.7061 0.5000 0.5000
Pd: 0.7500 0.2500 0.0000
Pd: 0.7500 0.7500 0.0000
Pd: 0.7939 0.0000 0.5000

=====

(6)
First-principles (GGA-PBE) data for crystalline HoPd3 at its relaxed geometry, as listed in the Alexandria database.

Results
* symmetry: I4/mmm, No. 139
* crystal system: tetragonal
* DOS(E_F): 2.9 states/eV/f.u.

Cell lengths 4.1608, 4.1608, 8.1702 Å; angles 90.00, 90.00, 90.00 degrees
Positions (direct):
Ho: 0.0000 0.0000 0.0000
Ho: 0.5000 0.5000 0.5000
Pd: 0.0000 0.0000 0.5000
Pd: 0.0000 0.5000 0.2500
Pd: 0.0000 0.5000 0.7500
Pd: 0.5000 0.0000 0.2500
Pd: 0.5000 0.0000 0.7500
Pd: 0.5000 0.5000 0.0000

=====

(7)
First-principles (GGA-PBE) data for crystalline Ho4Pd at its relaxed geometry, as listed in the Alexandria database.

Results
* symmetry: Fdd2, No. 43
* crystal system: orthorhombic
* DOS(E_F): 5.8 states/eV/f.u.
* relative energy among the computed polymorphs: 0.0 meV per atom

Cell lengths 7.2798, 7.2610, 8.8992 Å; angles 52.36, 52.17, 75.47 degrees
Positions (direct):
Ho: 0.1579 0.2569 0.9976
Ho: 0.2524 0.6624 0.0921
Ho: 0.2569 0.1579 0.5876
Ho: 0.2951 0.7049 0.4516
Ho: 0.6624 0.2524 0.9931
Ho: 0.7016 0.7984 0.5451
Ho: 0.7049 0.2951 0.5484
Ho: 0.7984 0.7016 0.9549
Pd: 0.1043 0.1043 0.3957
Pd: 0.8543 0.8543 0.1457

=====

(8)
First-principles (GGA-PBE) data for crystalline Ho4Pd at its relaxed geometry, as listed in the Alexandria database.

Results
* symmetry: Pm-3m, No. 221
* crystal system: cubic
* DOS(E_F): 8.8 states/eV/f.u.
* relative energy among the computed polymorphs: 166.7 meV per atom

Cell lengths 5.4299, 5.4299, 5.4299 Å; angles 90.00, 90.00, 90.00 degrees
Positions (direct):
Ho: 0.0000 0.0000 0.0000
Ho: 0.0000 0.5000 0.5000
Ho: 0.5000 0.0000 0.5000
Ho: 0.5000 0.5000 0.0000
Pd: 0.5000 0.5000 0.5000

=====

| no. | calculated formation energy (kcal/mol of atoms) |
| --- | --- |
| 1 | -21.92 |
| 2 | 13.92 |
| 3 | -18.30 |
| 4 | -11.14 |
| 5 | -20.42 |
| 6 | -18.40 |
| 7 | -6.49 |
| 8 | -2.65 |